Fe2SnB: relaxed, GGA-PBE.

Cell lengths 4.1854, 4.1854, 7.3142 Å; angles 73.37, 73.37, 90.00 degrees
Fractional coordinates of all 8 atoms:
Fe (0.4432, 0.1250, 0.2500)
Sn (0.0000, 0.0000, 0.0000)
Fe (0.8750, 0.6932, 0.7500)
Sn (0.7500, 0.2500, 0.5000)
Fe (0.3068, 0.6250, 0.2500)
Fe (0.3750, 0.5568, 0.7500)
B (0.2500, 0.7500, 0.5000)
B (0.5000, 0.5000, 0.0000)

Output
The formation energy comes out at 599 meV/atom. As for the relative energy among the computed polymorphs: 0 meV/atom. As for the symmetry: I-42d. The calculation puts the volume at 117.2 Å³/cell. The total magnetic moment comes out at 0.0 μB/cell. The calculated total energy comes out at -6.303 eV per atom.



BeBH: relaxed, GGA-PBE.

Cell lengths 3.0120, 3.7160, 4.2632 Å; angles 90.50, 69.48, 90.00 degrees
Fractional coordinates of all 6 atoms:
H (0.5782, 0.7429, 0.8465)
H (0.4218, 0.2571, 0.1535)
Be (0.3279, 0.8812, 0.3433)
B (0.7323, 0.6202, 0.5355)
Be (0.6721, 0.1188, 0.6567)
B (0.2677, 0.3798, 0.4645)

Output
As for the relative energy among the computed polymorphs: 0 meV/atom. As for the symmetry: P-1. The calculation puts the volume at 44.7 Å³/cell. The total magnetic moment comes out at 0.0 μB/cell. The calculated total energy comes out at -4.533 eV per atom.



KSrTiCd2: relaxed, GGA-PBE.

Cell lengths 6.2795, 6.0211, 6.2795 Å; angles 90.00, 90.00, 90.00 degrees
Fractional coordinates of all 5 atoms:
Ti (0.0000, 0.5000, 0.0000)
Cd (0.0000, 0.0000, 0.5000)
K (0.5000, 0.5000, 0.5000)
Sr (0.0000, 0.0000, 0.0000)
Cd (0.5000, 0.0000, 0.0000)

Output
The formation energy comes out at 888 meV/atom. As for the symmetry: P4/mmm. The calculation puts the volume at 237.4 Å³/cell. The total magnetic moment comes out at 3.4 μB/cell. The calculated total energy comes out at -1.613 eV per atom.



Rb2BiO: relaxed, GGA-PBE.

Cell lengths 5.9586, 5.9586, 5.9586 Å; angles 60.00, 60.00, 60.00 degrees
Fractional coordinates of all 4 atoms:
Rb (0.7500, 0.7500, 0.7500)
O (0.0000, 0.0000, 0.0000)
Rb (0.2500, 0.2500, 0.2500)
Bi (0.5000, 0.5000, 0.5000)

Output
For the formation energy without anion corrections, the calculation gives 0.057 eV per atom. As for the relative energy among the computed polymorphs: 642 meV/atom. As for the symmetry: Fm-3m. The calculation puts the volume at 149.6 Å³/cell. The total magnetic moment comes out at 3.0 μB/cell. The calculated total energy comes out at -2.636 eV per atom.



PuPa2Rh: relaxed, GGA-PBE.

Cell lengths 3.4294, 7.6096, 7.3810 Å; angles 90.00, 90.00, 115.84 degrees
Fractional coordinates of all 8 atoms:
Pa (0.7265, 0.7400, 0.0024)
Rh (0.0405, 0.5481, 0.2500)
Pu (0.4602, 0.9196, 0.7500)
Pa (0.2735, 0.2600, 0.9976)
Pa (0.7265, 0.7400, 0.4976)
Pa (0.2735, 0.2600, 0.5024)
Rh (0.9595, 0.4519, 0.7500)
Pu (0.5398, 0.0804, 0.2500)

Output
The formation energy comes out at -333 meV/atom. As for the relative energy among the computed polymorphs: 0 meV/atom. As for the symmetry: P2_1/m. The calculation puts the volume at 173.4 Å³/cell. The total magnetic moment comes out at 9.5 μB/cell. The calculated total energy comes out at -10.502 eV per atom.



KLiIr: relaxed, GGA-PBE.

Cell lengths 4.9376, 4.9376, 4.9376 Å; angles 60.00, 60.00, 60.00 degrees
Fractional coordinates of all 3 atoms:
K (0.7500, 0.7500, 0.7500)
Li (0.0000, 0.0000, 0.0000)
Ir (0.5000, 0.5000, 0.5000)

Output
The formation energy comes out at 1387 meV/atom. As for the relative energy among the computed polymorphs: 1056 meV/atom. As for the symmetry: F-43m. The calculation puts the volume at 85.1 Å³/cell. The total magnetic moment comes out at 1.0 μB/cell. The calculated total energy comes out at -2.571 eV per atom.